# TbGdAl6 | OQMD via LeMat-Bulk | GGA-PBE | optimized geometry
# * total DFT energy (no corrections): -4.41 eV per atom
# * ρ: 5.0 g/cm³
# * V: 159.34 Å³ per cell
# * magnetization: 0.001 μB per atom
data_TbGdAl6
_chemical_formula_sum 'Tb1 Gd1 Al6'
_cell_length_a 6.3252
_cell_length_b 6.3252
_cell_length_c 4.5989
_cell_angle_alpha 90.00
_cell_angle_beta 90.00
_cell_angle_gamma 120.00
_space_group_name_H-M_alt 'P -6 m 2'
_space_group_IT_number 187
_space_group_name_Hall 'P -6 2'
loop_
_atom_site_label
_atom_site_type_symbol
_atom_site_fract_x
_atom_site_fract_y
_atom_site_fract_z
_atom_site_occupancy
Tb1 Tb 0.0000 0.0000 0.0000 1
Gd1 Gd 0.3333 0.6667 0.5000 1
Al1 Al 0.3738 0.1869 0.5000 1
Al2 Al 0.5207 0.0414 0.0000 1

=====

# Tb2Gd2Al3 | OQMD via LeMat-Bulk | GGA-PBE | optimized geometry
# * total DFT energy (no corrections): -4.45 eV per atom
# * ρ: 6.4 g/cm³
# * V: 369.05 Å³ per cell
# * magnetization: 0.005 μB per atom
data_Tb2Gd2Al3
_chemical_formula_sum 'Tb4 Gd4 Al6'
_cell_length_a 12.0685
_cell_length_b 5.0064
_cell_length_c 6.6382
_cell_angle_alpha 90.00
_cell_angle_beta 113.05
_cell_angle_gamma 90.00
_space_group_name_H-M_alt 'C 1 2/m 1'
_space_group_IT_number 12
_space_group_name_Hall '-C 2y'
loop_
_atom_site_label
_atom_site_type_symbol
_atom_site_fract_x
_atom_site_fract_y
_atom_site_fract_z
_atom_site_occupancy
Tb1 Tb 0.1805 0.0000 0.2960 1
Gd1 Gd 0.0452 0.5000 0.7808 1
Al1 Al 0.0000 0.0000 0.5000 1
Al2 Al 0.2154 0.0000 0.8317 1

=====

# GdAlTc | OQMD via LeMat-Bulk | GGA-PBE | optimized geometry
# * total DFT energy (no corrections): -5.97 eV per atom
# * ρ: 7.2 g/cm³
# * V: 260.94 Å³ per cell
# * magnetization: 0.005 μB per atom
data_GdAlTc
_chemical_formula_sum 'Gd4 Al4 Tc4'
_cell_length_a 6.3902
_cell_length_b 6.3902
_cell_length_c 6.3902
_cell_angle_alpha 90.00
_cell_angle_beta 90.00
_cell_angle_gamma 90.00
_space_group_name_H-M_alt 'F -4 3 m'
_space_group_IT_number 216
_space_group_name_Hall 'F -4 2 3'
loop_
_atom_site_label
_atom_site_type_symbol
_atom_site_fract_x
_atom_site_fract_y
_atom_site_fract_z
_atom_site_occupancy
Gd1 Gd 0.0000 0.0000 0.0000 1
Al1 Al 0.2500 0.2500 0.2500 1
Tc1 Tc 0.0000 0.0000 0.5000 1

=====

# GdAlTlTe3 | OQMD via LeMat-Bulk | GGA-PBE | optimized geometry
# * total DFT energy (no corrections): -4.06 eV per atom
# * ρ: 6.5 g/cm³
# * V: 789.66 Å³ per cell
# * magnetization: 0.001 μB per atom
data_GdAlTlTe3
_chemical_formula_sum 'Gd4 Al4 Tl4 Te12'
_cell_length_a 4.4323
_cell_length_b 15.3977
_cell_length_c 11.5706
_cell_angle_alpha 90.00
_cell_angle_beta 90.00
_cell_angle_gamma 90.00
_space_group_name_H-M_alt 'C m c m'
_space_group_IT_number 63
_space_group_name_Hall '-C 2c 2'
loop_
_atom_site_label
_atom_site_type_symbol
_atom_site_fract_x
_atom_site_fract_y
_atom_site_fract_z
_atom_site_occupancy
Gd1 Gd 0.0000 0.0000 0.0000 1
Al1 Al 0.0000 0.4657 0.2500 1
Tl1 Tl 0.0000 0.2381 0.7500 1
Te1 Te 0.0000 0.0744 0.2500 1
Te2 Te 0.0000 0.3630 0.0614 1